First-principles (PBE) data for crystalline Ti7NbPd4 at its relaxed geometry, as listed in Alexandria.

Calculated values
Magnetization = 0.000 μB/atom
E_tot = -7.472 eV/atom

Lattice parameters (Å, degrees): 4.4315 4.4315 11.5193 90.00 90.00 120.00
Positions (direct):
Ti1 0.0000 0.0000 0.0000
Ti2 0.0000 0.0000 0.2602
Ti3 0.0000 0.0000 0.7398
Ti4 0.3333 0.6667 0.1476
Ti5 0.3333 0.6667 0.4218
Ti6 0.6667 0.3333 0.5782
Ti7 0.6667 0.3333 0.8524
Nb1 0.0000 0.0000 0.5000
Pd1 0.3333 0.6667 0.6629
Pd2 0.3333 0.6667 0.8999
Pd3 0.6667 0.3333 0.1001
Pd4 0.6667 0.3333 0.3371